# 1
DFT (PBE) results for a relaxed Ac2LaErSe5 crystal.

Computed properties:
N(E_F) in states/eV/f.u.: 3.52
Symmetry: Cmc2_1 (36)
Final energy in eV/atom: -5.731
Formation energy without anion corrections in kJ/mol of atoms: -176.38
Crystal system: orthorhombic

```
Ac2LaErSe5
1.0
2.1196 -9.0267 0.0000
2.1196 9.0267 0.0000
0.0000 0.0000 14.3454
Ac La Er Se
4 2 2 10
Direct
0.0835 0.9165 0.5000 Ac
0.1381 0.8619 0.1632 Ac
0.8619 0.1381 0.6632 Ac
0.9165 0.0835 0.0000 Ac
0.4482 0.5518 0.3086 La
0.5518 0.4482 0.8086 La
0.2307 0.7693 0.8956 Er
0.7693 0.2307 0.3956 Er
0.0819 0.9181 0.9457 Se
0.2551 0.7449 0.5378 Se
0.2910 0.7090 0.2627 Se
0.3820 0.6180 0.8413 Se
0.4948 0.5052 0.6207 Se
0.5052 0.4948 0.1207 Se
0.6180 0.3820 0.3413 Se
0.7090 0.2910 0.7627 Se
0.7449 0.2551 0.0378 Se
0.9181 0.0819 0.4457 Se
```

***

# 2
DFT (PBE) results for a relaxed Pr6P2IrSe3 crystal.

Computed properties:
N(E_F) in states/eV/f.u.: 6.81
Symmetry: C2/m (12)
Final energy in eV/atom: -6.458
Formation energy without anion corrections in kJ/mol of atoms: -150.21
Crystal system: monoclinic

```
Pr6P2IrSe3
1.0
9.2877 -2.1034 0.0000
9.2877 2.1034 0.0000
-2.0804 0.0000 8.3488
Pr P Ir Se
6 2 1 3
Direct
0.0037 0.0037 0.2383 Pr
0.3291 0.3291 0.4261 Pr
0.3391 0.3391 0.9071 Pr
0.6609 0.6609 0.0929 Pr
0.6709 0.6709 0.5739 Pr
0.9963 0.9963 0.7617 Pr
0.1669 0.1669 0.3360 P
0.8331 0.8331 0.6640 P
0.5000 0.5000 0.0000 Ir
0.1690 0.1690 0.8326 Se
0.5000 0.5000 0.5000 Se
0.8310 0.8310 0.1674 Se
```

***

# 3
DFT (PBE) results for a relaxed Ca2ZnFe crystal.

Computed properties:
N(E_F) in states/eV/f.u.: 4.81
Formation energy from the elements in eV/atom: 0.231
Symmetry: P4/mmm (123)
Final energy in eV/atom: -3.204
Crystal system: tetragonal

```
Ca2ZnFe
1.0
3.4987 0.0000 0.0000
0.0000 3.4987 0.0000
0.0000 0.0000 7.6921
Ca Zn Fe
2 1 1
Direct
0.0000 0.0000 0.2433 Ca
0.0000 0.0000 0.7567 Ca
0.5000 0.5000 0.5000 Zn
0.5000 0.5000 0.0000 Fe
```

***

# 4
DFT (PBE) results for a relaxed Pa4BeSi8 crystal.

Computed properties:
N(E_F) in states/eV/f.u.: 13.31
Symmetry: Pmm2 (25)
Final energy in eV/atom: -6.944
Formation energy without anion corrections in kJ/mol of atoms: -38.43
Crystal system: orthorhombic

```
Pa4BeSi8
1.0
3.8804 0.0000 0.0000
0.0000 3.9356 0.0000
0.0000 0.0000 15.9662
Pa Be Si
4 1 8
Direct
0.0000 0.0000 0.0000 Pa
0.0000 0.5000 0.4973 Pa
0.5000 0.0000 0.7872 Pa
0.5000 0.5000 0.2852 Pa
0.0000 0.5000 0.7139 Be
0.0000 0.0000 0.3467 Si
0.0000 0.0000 0.6384 Si
0.0000 0.5000 0.1425 Si
0.0000 0.5000 0.8536 Si
0.5000 0.0000 0.1430 Si
0.5000 0.0000 0.4362 Si
0.5000 0.5000 0.6388 Si
0.5000 0.5000 0.9402 Si
```